Density functional theory data (PBE-GGA) for a geometry-optimized LaSm3HoEr structure.

```
data_LaSm3HoEr
_space_group_name_H-M_alt 'C 1 2/m 1'
_space_group_IT_number 12
_cell_length_a 20.395
_cell_length_b 5.768
_cell_length_c 6.888
_cell_angle_alpha 90.00
_cell_angle_beta 91.31
_cell_angle_gamma 90.00
loop_
_space_group_symop_operation_xyz
'x,y,z'
'-x,-y,-z'
'-x,y,-z'
'x,-y,z'
'x+1/2,y+1/2,z'
'-x+1/2,-y+1/2,-z'
'-x+1/2,y+1/2,-z'
'x+1/2,-y+1/2,z'
loop_
_atom_site_label
_atom_site_fract_x
_atom_site_fract_y
_atom_site_fract_z
La1 0.146 0.000 0.024
Sm1 0.020 0.000 0.744
Sm2 0.160 0.500 0.736
Sm3 0.220 0.500 0.259
Ho1 0.057 0.500 0.272
Er1 0.144 0.000 0.470
```

* density of states at the Fermi level: 1.504 states/eV per atom
* ΔE_f: 200 meV per atom